VASP calculation (PBE with a Hubbard U) on Na2SrCrF8 after structural relaxation.

Properties
DFT total energy (eV/atom): -5.119
Total moment (μB/f.u.): 2.00

Unit cell a=4.8662 b=7.1308 c=5.3286 alpha=90.00 beta=91.33 gamma=90.00
Space group P2/m (No. 10)
Asymmetric unit:
Na 0.0000 0.2488 0.0000
Sr 0.5000 0.0000 0.5000
Cr 0.5000 0.5000 0.5000
F 0.1470 0.0000 0.7830
F 0.2254 0.5000 0.7311
F 0.3254 0.3084 0.3130